BaLiMgAs | PBE | relaxed

a b c (Å): 4.438 4.438 12.195
angles (deg): 90.00 90.00 90.00
Space group P4/nmm (No. 129, origin choice 2)
Unique sites:
Ba (0.250, 0.250, 0.212) (multiplicity 2)
Li (0.250, 0.750, 0.000) (multiplicity 2)
Mg (0.250, 0.750, 0.500) (multiplicity 2)
As (0.250, 0.250, 0.878) (multiplicity 2)

density of states at the Fermi level: 1.08 states/eV/f.u.
M_tot: 0.0 μB/f.u.
final energy: -3.065 eV per atom

Ba2LiMgAs | PBE | relaxed

a b c (Å): 6.483 6.483 4.872
angles (deg): 90.00 90.00 90.00
Space group P4/mmm (No. 123)
Unique sites:
Ba (0.000, 0.500, 0.000) (multiplicity 2)
Li (0.000, 0.000, 0.500) (multiplicity 1)
Mg (0.500, 0.500, 0.500) (multiplicity 1)
As (0.000, 0.000, 0.000) (multiplicity 1)

density of states at the Fermi level: 4.94 states/eV/f.u.
M_tot: 0.0 μB/f.u.
final energy: -2.801 eV per atom

BaLiMnAs2 | PBE | relaxed

a b c (Å): 4.315 4.315 12.266
angles (deg): 90.00 90.00 90.00
Space group I-4m2 (No. 119)
Unique sites:
Ba (0.000, 0.000, 0.000) (multiplicity 2)
Li (0.000, 0.500, 0.750) (multiplicity 2)
Mn (0.000, 0.500, 0.250) (multiplicity 2)
As (0.000, 0.000, 0.358) (multiplicity 4)

density of states at the Fermi level: 1.05 states/eV/f.u.
M_tot: 4.0 μB/f.u.
final energy: -5.179 eV per atom

Ba2LiAsN | PBE | relaxed

a b c (Å): 5.601 5.601 4.136
angles (deg): 90.00 90.00 90.00
Space group P4/mmm (No. 123)
Unique sites:
Ba (0.000, 0.500, 0.000) (multiplicity 2)
Li (0.000, 0.000, 0.500) (multiplicity 1)
As (0.500, 0.500, 0.500) (multiplicity 1)
N (0.000, 0.000, 0.000) (multiplicity 1)

density of states at the Fermi level: 4.33 states/eV/f.u.
E_form (uncorrected): -13.4 kcal/mol of atoms
M_tot: 0.0 μB/f.u.
final energy: -4.326 eV per atom

Ba2LiNiAs | PBE | relaxed

a b c (Å): 5.772 5.772 4.642
angles (deg): 90.00 90.00 90.00
Space group P4/mmm (No. 123)
Unique sites:
Ba (0.000, 0.500, 0.000) (multiplicity 2)
Li (0.000, 0.000, 0.500) (multiplicity 1)
Ni (0.000, 0.000, 0.000) (multiplicity 1)
As (0.500, 0.500, 0.500) (multiplicity 1)

density of states at the Fermi level: 1.27 states/eV/f.u.
M_tot: 0.0 μB/f.u.
final energy: -3.448 eV per atom

Ba2LiNiAs2 | PBE | relaxed

a b c (Å): 6.424 14.726 6.400
angles (deg): 90.00 90.00 90.00
Space group Ibam (No. 72)
Unique sites:
Ba (0.250, 0.156, 0.000) (multiplicity 8)
Li (0.000, 0.000, 0.250) (multiplicity 4)
Ni (0.000, 0.500, 0.250) (multiplicity 4)
As (0.231, 0.412, 0.000) (multiplicity 8)

density of states at the Fermi level: 5.56 states/eV/f.u.
M_tot: 0.5 μB/f.u.
final energy: -4.221 eV per atom

BaLiNiAs2 | PBE | relaxed

a b c (Å): 4.371 4.371 10.606
angles (deg): 90.00 90.00 90.00
Space group I-4m2 (No. 119)
Unique sites:
Ba (0.000, 0.000, 0.000) (multiplicity 2)
Li (0.000, 0.500, 0.250) (multiplicity 2)
Ni (0.000, 0.500, 0.750) (multiplicity 2)
As (0.000, 0.000, 0.364) (multiplicity 4)

density of states at the Fermi level: 1.86 states/eV/f.u.
M_tot: 0.0 μB/f.u.
final energy: -4.490 eV per atom

Ba3LiAs2O8 | PBE | relaxed

a b c (Å): 5.8861 5.8861 24.6318
angles (deg): 90.00 90.00 120.00
Space group R3m (No. 160, hexagonal axes)
Unique sites:
Ba (0.0000, 0.0000, 0.0000) (multiplicity 3)
Ba (0.0000, 0.0000, 0.2100) (multiplicity 3)
Ba (0.0000, 0.0000, 0.7637) (multiplicity 3)
Li (0.0000, 0.0000, 0.8849) (multiplicity 3)
As (0.0000, 0.0000, 0.3891) (multiplicity 3)
As (0.0000, 0.0000, 0.5879) (multiplicity 3)
O (0.0000, 0.0000, 0.3189) (multiplicity 3)
O (0.0000, 0.0000, 0.6646) (multiplicity 3)
O (0.0128, 0.5064, 0.2227) (multiplicity 9)
O (0.1744, 0.3488, 0.0808) (multiplicity 9)

density of states at the Fermi level: 2.75 states/eV/f.u.
E_form (uncorrected): -46.1 kcal/mol of atoms
M_tot: 0.5 μB/f.u.
polymorph energy (0 for the lowest one): 0.0644 eV/atom
final energy: -6.044 eV per atom

Ba3LiAs2O8 | PBE | relaxed

a b c (Å): 5.8853 5.8853 22.7770
angles (deg): 90.00 90.00 120.00
Space group R-3m (No. 166, hexagonal axes)
Unique sites:
Ba (0.0000, 0.0000, 0.0000) (multiplicity 3)
Ba (0.0000, 0.0000, 0.2075) (multiplicity 6)
Li (0.0000, 0.0000, 0.5000) (multiplicity 3)
As (0.0000, 0.0000, 0.3973) (multiplicity 6)
O (0.0000, 0.0000, 0.3203) (multiplicity 6)
O (0.0215, 0.5107, 0.2326) (multiplicity 18)

density of states at the Fermi level: 4.11 states/eV/f.u.
E_form (uncorrected): -46.5 kcal/mol of atoms
M_tot: 0.0 μB/f.u.
polymorph energy (0 for the lowest one): 0.0469 eV/atom
final energy: -6.061 eV per atom

Ba3LiAs2O8 | PBE | relaxed

a b c (Å): 11.076 5.682 8.879
angles (deg): 90.00 124.09 90.00
Space group Cm (No. 8)
Unique sites:
Ba (0.000, 0.000, 0.000) (multiplicity 2)
Ba (0.080, 0.500, 0.772) (multiplicity 2)
Ba (0.239, 0.500, 0.445) (multiplicity 2)
Li (0.409, 0.500, 0.263) (multiplicity 2)
As (0.154, 0.000, 0.613) (multiplicity 2)
As (0.373, 0.000, 0.187) (multiplicity 2)
O (0.043, 0.000, 0.722) (multiplicity 2)
O (0.120, 0.000, 0.371) (multiplicity 2)
O (0.267, 0.253, 0.117) (multiplicity 4)
O (0.272, 0.244, 0.719) (multiplicity 4)
O (0.475, 0.000, 0.421) (multiplicity 2)
O (0.486, 0.000, 0.112) (multiplicity 2)

density of states at the Fermi level: 1.80 states/eV/f.u.
E_form (uncorrected): -47.0 kcal/mol of atoms
M_tot: 1.0 μB/f.u.
polymorph energy (0 for the lowest one): 0.0228 eV/atom
final energy: -6.086 eV per atom

Ba3LiAs2O8 | PBE | relaxed

a b c (Å): 5.8789 5.8789 7.6225
angles (deg): 90.00 90.00 120.00
Space group P-3m1 (No. 164)
Unique sites:
Ba (0.0000, 0.0000, 0.0000) (multiplicity 1)
Ba (0.3333, 0.6667, 0.6497) (multiplicity 2)
Li (0.0000, 0.0000, 0.5000) (multiplicity 1)
As (0.3333, 0.6667, 0.2149) (multiplicity 2)
O (0.1724, 0.3449, 0.3104) (multiplicity 6)
O (0.3333, 0.6667, 0.9841) (multiplicity 2)

density of states at the Fermi level: 2.97 states/eV/f.u.
E_form (uncorrected): -47.6 kcal/mol of atoms
M_tot: 0.0 μB/f.u.
polymorph energy (0 for the lowest one): 0.0000 eV/atom
final energy: -6.108 eV per atom

BaLiAsO2 | PBE | relaxed

a b c (Å): 4.276 4.276 4.685
angles (deg): 90.00 90.00 90.00
Space group P4/mmm (No. 123)
Unique sites:
Ba (0.000, 0.000, 0.000) (multiplicity 1)
Li (0.000, 0.000, 0.500) (multiplicity 1)
As (0.500, 0.500, 0.000) (multiplicity 1)
O (0.000, 0.500, 0.500) (multiplicity 2)

density of states at the Fermi level: 2.95 states/eV/f.u.
E_form (uncorrected): -5.2 kcal/mol of atoms
M_tot: 0.4 μB/f.u.
final energy: -3.905 eV per atom

Q: What is the final energy in the sixth record?
A: -4.221 eV per atom

Copy entry 9 word for word.
Ba3LiAs2O8 | PBE | relaxed

a b c (Å): 5.8853 5.8853 22.7770
angles (deg): 90.00 90.00 120.00
Space group R-3m (No. 166, hexagonal axes)
Unique sites:
Ba (0.0000, 0.0000, 0.0000) (multiplicity 3)
Ba (0.0000, 0.0000, 0.2075) (multiplicity 6)
Li (0.0000, 0.0000, 0.5000) (multiplicity 3)
As (0.0000, 0.0000, 0.3973) (multiplicity 6)
O (0.0000, 0.0000, 0.3203) (multiplicity 6)
O (0.0215, 0.5107, 0.2326) (multiplicity 18)

density of states at the Fermi level: 4.11 states/eV/f.u.
E_form (uncorrected): -46.5 kcal/mol of atoms
M_tot: 0.0 μB/f.u.
polymorph energy (0 for the lowest one): 0.0469 eV/atom
final energy: -6.061 eV per atom

Q: The lowest final energy belongs to which entry?
A: number 11

Repeat the tenth record exactly.
Ba3LiAs2O8 | PBE | relaxed

a b c (Å): 11.076 5.682 8.879
angles (deg): 90.00 124.09 90.00
Space group Cm (No. 8)
Unique sites:
Ba (0.000, 0.000, 0.000) (multiplicity 2)
Ba (0.080, 0.500, 0.772) (multiplicity 2)
Ba (0.239, 0.500, 0.445) (multiplicity 2)
Li (0.409, 0.500, 0.263) (multiplicity 2)
As (0.154, 0.000, 0.613) (multiplicity 2)
As (0.373, 0.000, 0.187) (multiplicity 2)
O (0.043, 0.000, 0.722) (multiplicity 2)
O (0.120, 0.000, 0.371) (multiplicity 2)
O (0.267, 0.253, 0.117) (multiplicity 4)
O (0.272, 0.244, 0.719) (multiplicity 4)
O (0.475, 0.000, 0.421) (multiplicity 2)
O (0.486, 0.000, 0.112) (multiplicity 2)

density of states at the Fermi level: 1.80 states/eV/f.u.
E_form (uncorrected): -47.0 kcal/mol of atoms
M_tot: 1.0 μB/f.u.
polymorph energy (0 for the lowest one): 0.0228 eV/atom
final energy: -6.086 eV per atom